Entry P
! MnNCl3 (GGA-PBE, relaxed); values from VASP
! SG: No. 221
! Total magnetic moment (μB per cell): 0.0
&SYSTEM
  ibrav = 0, nat = 5, ntyp = 3
/
ATOMIC_SPECIES
Mn 54.94 Mn.upf
N 14.01 N.upf
Cl 35.45 Cl.upf
CELL_PARAMETERS angstrom
4.5045 0.0000 0.0000
0.0000 4.5045 0.0000
0.0000 0.0000 4.5045
ATOMIC_POSITIONS angstrom
Mn 0.0000 0.0000 0.0000
N 2.2522 2.2522 2.2522
Cl 0.0000 0.0000 2.2522
Cl 0.0000 2.2522 0.0000
Cl 2.2522 0.0000 0.0000


Entry Q
! MnNCl3 (GGA-PBE, relaxed); values from VASP
! SG: No. 63
! Total magnetic moment (μB per cell): 28.0
&SYSTEM
  ibrav = 0, nat = 20, ntyp = 3
/
ATOMIC_SPECIES
Mn 54.94 Mn.upf
N 14.01 N.upf
Cl 35.45 Cl.upf
CELL_PARAMETERS angstrom
4.6890 -4.7461 0.0000
4.6890 4.7461 0.0000
0.0000 0.0000 9.5365
ATOMIC_POSITIONS angstrom
Mn 2.3445 2.3730 0.0000
Mn 2.3445 2.3730 4.7682
Mn 2.3445 -2.3730 0.0000
Mn 2.3445 -2.3730 4.7682
N 4.6890 4.6619 7.1524
N 4.6890 0.1847 2.3841
N 4.6890 -0.1847 7.1524
N 4.6890 -4.6619 2.3841
Cl 2.6866 2.3909 7.1524
Cl 4.6890 2.7485 0.3387
Cl 4.6890 2.7485 4.4296
Cl 2.7115 0.0000 0.0000
Cl 2.7115 0.0000 4.7682
Cl 6.6915 2.3909 7.1524
Cl 2.6866 -2.3909 2.3841
Cl 6.6665 0.0000 0.0000
Cl 6.6665 0.0000 4.7682
Cl 4.6890 -2.7485 5.1069
Cl 4.6890 -2.7485 9.1978
Cl 6.6915 -2.3909 2.3841


Entry R
! MnNCl3 (GGA-PBE, relaxed); values from VASP
! SG: No. 221
! Total magnetic moment (μB per cell): 5.0
&SYSTEM
  ibrav = 0, nat = 5, ntyp = 3
/
ATOMIC_SPECIES
Mn 54.94 Mn.upf
N 14.01 N.upf
Cl 35.45 Cl.upf
CELL_PARAMETERS angstrom
4.4477 0.0000 0.0000
0.0000 4.4477 0.0000
0.0000 0.0000 4.4477
ATOMIC_POSITIONS angstrom
Mn 0.0000 0.0000 0.0000
N 2.2238 2.2238 2.2238
Cl 0.0000 2.2238 2.2238
Cl 2.2238 0.0000 2.2238
Cl 2.2238 2.2238 0.0000


Entry S
! MnNCl3 (GGA-PBE, relaxed); values from VASP
! SG: No. 62
! Total magnetic moment (μB per cell): 20.0
&SYSTEM
  ibrav = 0, nat = 20, ntyp = 3
/
ATOMIC_SPECIES
Mn 54.94 Mn.upf
N 14.01 N.upf
Cl 35.45 Cl.upf
CELL_PARAMETERS angstrom
7.7477 0.0000 0.0000
0.0000 8.4737 0.0000
0.0000 0.0000 6.8818
ATOMIC_POSITIONS angstrom
Mn 0.0000 0.0000 0.0000
Mn 0.0000 4.2368 0.0000
Mn 3.8738 0.0000 3.4409
Mn 3.8738 4.2368 3.4409
N 1.2745 2.1184 2.0719
N 2.5993 6.3553 5.5128
N 5.1484 2.1184 1.3690
N 6.4732 6.3553 4.8099
Cl 0.0288 6.3553 1.1239
Cl 1.7366 4.9236 4.9204
Cl 1.7366 7.7870 4.9204
Cl 2.1373 0.6867 1.4795
Cl 2.1373 3.5501 1.4795
Cl 3.8451 2.1184 4.5648
Cl 3.9026 6.3553 2.3171
Cl 5.6104 4.9236 5.4024
Cl 5.6104 7.7870 5.4024
Cl 6.0111 0.6867 1.9614
Cl 6.0111 3.5501 1.9614
Cl 7.7189 2.1184 5.7580


Most stable structure, least stable structure: entry S, entry P.